(1)
{"formula": "LiCa2Ta3O10", "functional": "SCAN", "state": "PBEsol geometry", "cell": [[-1.950, 1.950, 13.712], [1.950, -1.950, 13.712], [1.950, 1.950, -13.712]], "species": ["Li", "Ca", "Ca", "Ta", "Ta", "Ta", "O", "O", "O", "O", "O", "O", "O", "O", "O", "O"], "fractional_positions": [[0.000, 0.000, 0.000], [0.667, 0.167, 0.500], [0.833, 0.333, 0.500], [0.096, 0.596, 0.500], [0.250, 0.750, 0.500], [0.404, 0.904, 0.500], [0.031, 0.531, 0.500], [0.111, 0.111, 0.000], [0.179, 0.679, 0.500], [0.250, 0.250, 0.000], [0.321, 0.821, 0.500], [0.388, 0.388, 0.000], [0.469, 0.969, 0.500], [0.612, 0.612, 0.000], [0.750, 0.750, 0.000], [0.889, 0.889, 0.000]], "volume_a3_per_cell": 208.5, "final_energy_ev_per_atom": -20.84, "dos_at_fermi_per_ev_cell": 0.0, "magmom_total_mub_per_cell": 0.0, "formation_energy_uncorrected_mev_per_atom": -3107.6}

=====

(2)
{"formula": "Te2WIF", "functional": "SCAN", "state": "PBEsol geometry", "cell": [[4.585, 0.000, 0.000], [0.000, 4.585, 0.000], [0.000, 0.000, 5.819]], "species": ["Te", "Te", "W", "I", "F"], "fractional_positions": [[0.000, 0.500, 0.000], [0.500, 0.000, 0.000], [0.000, 0.000, 0.500], [0.500, 0.500, 0.500], [0.500, 0.500, 0.000]], "volume_a3_per_cell": 122.3, "final_energy_ev_per_atom": -35.87, "dos_at_fermi_per_ev_cell": 2.9, "magmom_total_mub_per_cell": 3.7, "formation_energy_uncorrected_mev_per_atom": 1023.2}

=====

(3)
{"formula": "POs2N", "functional": "SCAN", "state": "PBEsol geometry", "cell": [[0.000, 2.826, 2.826], [2.826, 0.000, 2.826], [2.826, 2.826, 0.000]], "species": ["P", "Os", "Os", "N"], "fractional_positions": [[0.000, 0.000, 0.000], [0.250, 0.250, 0.250], [0.750, 0.750, 0.750], [0.500, 0.500, 0.500]], "volume_a3_per_cell": 45.1, "final_energy_ev_per_atom": -40.01, "dos_at_fermi_per_ev_cell": 2.4, "magmom_total_mub_per_cell": 0.0, "formation_energy_uncorrected_mev_per_atom": 857.1}

=====

(4)
{"formula": "Sc2SbTe", "functional": "SCAN", "state": "PBEsol geometry", "cell": [[0.000, 3.580, 3.580], [3.580, 0.000, 3.580], [3.580, 3.580, 0.000]], "species": ["Sc", "Sc", "Sb", "Te"], "fractional_positions": [[0.250, 0.250, 0.250], [0.750, 0.750, 0.750], [0.000, 0.000, 0.000], [0.500, 0.500, 0.500]], "relative_energy_mev_per_atom": 333, "volume_a3_per_cell": 91.7, "final_energy_ev_per_atom": -26.56, "dos_at_fermi_per_ev_cell": 3.3, "magmom_total_mub_per_cell": 1.1, "formation_energy_uncorrected_mev_per_atom": -817.4}

=====

(5)
{"formula": "Be4Zn", "functional": "SCAN", "state": "PBEsol geometry", "cell": [[-2.624, 2.624, 1.656], [2.624, -2.624, 1.656], [2.624, 2.624, -1.656]], "species": ["Be", "Be", "Be", "Be", "Zn"], "fractional_positions": [[0.094, 0.690, 0.784], [0.310, 0.094, 0.404], [0.690, 0.906, 0.596], [0.906, 0.310, 0.216], [0.500, 0.500, 0.000]], "volume_a3_per_cell": 45.6, "final_energy_ev_per_atom": -6.05, "dos_at_fermi_per_ev_cell": 1.0, "formation_energy_ev_per_atom": 0.136, "magmom_total_mub_per_cell": 0.0}

=====

(6)
{"formula": "Ba3BiN", "functional": "SCAN", "state": "PBEsol geometry", "cell": [[6.613, 0.000, 0.000], [0.000, 6.613, 0.000], [0.000, 0.000, 6.613]], "species": ["Ba", "Ba", "Ba", "Bi", "N"], "fractional_positions": [[0.000, 0.000, 0.500], [0.000, 0.500, 0.000], [0.500, 0.000, 0.000], [0.000, 0.000, 0.000], [0.500, 0.500, 0.500]], "volume_a3_per_cell": 289.2, "final_energy_ev_per_atom": -40.76, "dos_at_fermi_per_ev_cell": 4.7, "magmom_total_mub_per_cell": 0.4, "formation_energy_uncorrected_mev_per_atom": 542.2}

=====

(7)
{"formula": "Mn2NiAu", "functional": "SCAN", "state": "PBEsol geometry", "cell": [[1.390, 0.803, 8.238], [-1.390, 0.803, 8.238], [0.000, -1.605, 8.238]], "species": ["Mn", "Mn", "Ni", "Au"], "fractional_positions": [[0.242, 0.242, 0.242], [0.758, 0.758, 0.758], [0.500, 0.500, 0.500], [0.000, 0.000, 0.000]], "relative_energy_mev_per_atom": 215, "volume_a3_per_cell": 55.2, "final_energy_ev_per_atom": -30.60, "dos_at_fermi_per_ev_cell": 2.8, "formation_energy_ev_per_atom": -0.143, "magmom_total_mub_per_cell": 8.4}

=====

(8)
{"formula": "RbZn4B3O9", "functional": "SCAN", "state": "PBEsol geometry", "cell": [[6.902, 0.000, 0.000], [0.000, 5.007, 0.000], [-0.636, 0.000, 12.652]], "species": ["Rb", "Rb", "Zn", "Zn", "Zn", "Zn", "Zn", "Zn", "Zn", "Zn", "B", "B", "B", "B", "B", "B", "O", "O", "O", "O", "O", "O", "O", "O", "O", "O", "O", "O", "O", "O", "O", "O", "O", "O"], "fractional_positions": [[0.000, 0.229, 0.250], [0.000, 0.771, 0.750], [0.210, 0.337, 0.560], [0.210, 0.663, 0.060], [0.486, 0.148, 0.124], [0.486, 0.852, 0.624], [0.514, 0.148, 0.376], [0.514, 0.852, 0.876], [0.790, 0.337, 0.940], [0.790, 0.663, 0.440], [0.187, 0.149, 0.953], [0.187, 0.851, 0.453], [0.500, 0.348, 0.750], [0.500, 0.652, 0.250], [0.813, 0.149, 0.547], [0.813, 0.851, 0.047], [0.037, 0.244, 0.891], [0.037, 0.756, 0.391], [0.263, 0.109, 0.436], [0.263, 0.891, 0.936], [0.273, 0.294, 0.036], [0.273, 0.706, 0.536], [0.408, 0.211, 0.668], [0.408, 0.789, 0.168], [0.500, 0.375, 0.250], [0.500, 0.625, 0.750], [0.592, 0.211, 0.832], [0.592, 0.789, 0.332], [0.727, 0.294, 0.464], [0.727, 0.706, 0.964], [0.737, 0.109, 0.064], [0.737, 0.891, 0.564], [0.963, 0.244, 0.609], [0.963, 0.756, 0.109]], "volume_a3_per_cell": 437.2, "final_energy_ev_per_atom": -11.15, "dos_at_fermi_per_ev_cell": 0.0, "magmom_total_mub_per_cell": 0.0, "formation_energy_uncorrected_mev_per_atom": -2141.5}

=====

(9)
{"formula": "KY2Sc", "functional": "SCAN", "state": "PBEsol geometry", "cell": [[5.848, -1.697, 0.000], [5.848, 1.697, 0.000], [-0.913, 0.000, 6.830]], "species": ["K", "Y", "Y", "Sc"], "fractional_positions": [[0.000, 0.000, 0.000], [0.237, 0.237, 0.695], [0.494, 0.494, 0.491], [0.759, 0.759, 0.297]], "relative_energy_mev_per_atom": 211, "volume_a3_per_cell": 135.5, "final_energy_ev_per_atom": -19.08, "dos_at_fermi_per_ev_cell": 5.9, "formation_energy_ev_per_atom": 0.484, "magmom_total_mub_per_cell": 1.4}

=====

(10)
{"formula": "MoPIr2", "functional": "SCAN", "state": "PBEsol geometry", "cell": [[3.807, 0.000, 0.000], [0.000, 1.410, 5.173], [0.000, -1.410, 5.173]], "species": ["Mo", "P", "Ir", "Ir"], "fractional_positions": [[0.000, 0.000, 0.000], [0.500, 0.397, 0.397], [0.000, 0.267, 0.267], [0.500, 0.625, 0.625]], "volume_a3_per_cell": 55.5, "final_energy_ev_per_atom": -47.15, "dos_at_fermi_per_ev_cell": 2.0, "formation_energy_ev_per_atom": -0.281, "magmom_total_mub_per_cell": 0.0}

=====

(11)
{"formula": "TaZnIN2", "functional": "SCAN", "state": "PBEsol geometry", "cell": [[4.004, 0.000, 0.000], [0.000, 4.004, 0.000], [0.000, 0.000, 5.765]], "species": ["Ta", "Zn", "I", "N", "N"], "fractional_positions": [[0.000, 0.000, 0.000], [0.500, 0.500, 0.500], [0.000, 0.000, 0.500], [0.000, 0.500, 0.000], [0.500, 0.000, 0.000]], "volume_a3_per_cell": 92.4, "final_energy_ev_per_atom": -26.74, "dos_at_fermi_per_ev_cell": 1.9, "magmom_total_mub_per_cell": 0.0, "formation_energy_uncorrected_mev_per_atom": 340.7}

=====

(12)
{"formula": "ZnNi2Pb", "functional": "SCAN", "state": "PBEsol geometry", "cell": [[-1.850, 1.850, 4.162], [1.850, -1.850, 4.162], [1.850, 1.850, -4.162]], "species": ["Zn", "Ni", "Ni", "Pb"], "fractional_positions": [[0.000, 0.000, 0.000], [0.500, 0.500, 0.000], [0.750, 0.250, 0.500], [0.250, 0.750, 0.500]], "volume_a3_per_cell": 57.0, "final_energy_ev_per_atom": -30.20, "dos_at_fermi_per_ev_cell": 1.5, "formation_energy_ev_per_atom": 0.210, "magmom_total_mub_per_cell": 0.0}

=====

(13)
{"formula": "LiAsRh3", "functional": "SCAN", "state": "PBEsol geometry", "cell": [[4.075, 0.000, 0.000], [0.000, 4.075, 0.000], [0.000, 0.000, 4.075]], "species": ["Li", "As", "Rh", "Rh", "Rh"], "fractional_positions": [[0.000, 0.000, 0.000], [0.500, 0.500, 0.500], [0.000, 0.000, 0.500], [0.000, 0.500, 0.000], [0.500, 0.000, 0.000]], "volume_a3_per_cell": 67.7, "final_energy_ev_per_atom": -24.22, "dos_at_fermi_per_ev_cell": 3.1, "formation_energy_ev_per_atom": 0.557, "magmom_total_mub_per_cell": 0.0}

=====

(14)
{"formula": "KFe2Te", "functional": "SCAN", "state": "PBEsol geometry", "cell": [[1.582, 0.913, 9.509], [-1.582, 0.913, 9.509], [0.000, -1.827, 9.509]], "species": ["K", "Fe", "Fe", "Te"], "fractional_positions": [[0.000, 0.000, 0.000], [0.233, 0.233, 0.233], [0.767, 0.767, 0.767], [0.500, 0.500, 0.500]], "volume_a3_per_cell": 82.5, "final_energy_ev_per_atom": -19.52, "dos_at_fermi_per_ev_cell": 3.4, "magmom_total_mub_per_cell": 5.2, "formation_energy_uncorrected_mev_per_atom": 938.3}

=====

(15)
{"formula": "SrAuSe2N", "functional": "SCAN", "state": "PBEsol geometry", "cell": [[5.274, 0.000, 0.000], [0.000, 5.274, 0.000], [0.000, 0.000, 3.923]], "species": ["Sr", "Au", "Se", "Se", "N"], "fractional_positions": [[0.000, 0.000, 0.000], [0.500, 0.500, 0.500], [0.000, 0.500, 0.500], [0.500, 0.000, 0.500], [0.500, 0.500, 0.000]], "volume_a3_per_cell": 109.1, "final_energy_ev_per_atom": -28.38, "dos_at_fermi_per_ev_cell": 1.9, "magmom_total_mub_per_cell": 1.7, "formation_energy_uncorrected_mev_per_atom": -201.1}

=====

(16)
{"formula": "Ag3AsAu", "functional": "SCAN", "state": "PBEsol geometry", "cell": [[4.771, 0.000, 0.000], [0.000, 4.771, 0.000], [0.000, 0.000, 4.771]], "species": ["Ag", "Ag", "Ag", "As", "Au"], "fractional_positions": [[0.000, 0.000, 0.500], [0.000, 0.500, 0.000], [0.500, 0.000, 0.000], [0.000, 0.000, 0.000], [0.500, 0.500, 0.500]], "relative_energy_mev_per_atom": 0, "volume_a3_per_cell": 108.6, "final_energy_ev_per_atom": -36.24, "dos_at_fermi_per_ev_cell": 1.5, "formation_energy_ev_per_atom": 0.450, "magmom_total_mub_per_cell": 0.0}

=====

(17)
{"formula": "Al3MoIr", "functional": "SCAN", "state": "PBEsol geometry", "cell": [[4.583, 0.000, 0.000], [0.000, 4.583, 0.000], [0.000, 0.000, 4.583]], "species": ["Al", "Al", "Al", "Mo", "Ir"], "fractional_positions": [[0.000, 0.000, 0.500], [0.000, 0.500, 0.000], [0.500, 0.000, 0.000], [0.000, 0.000, 0.000], [0.500, 0.500, 0.500]], "volume_a3_per_cell": 96.3, "final_energy_ev_per_atom": -24.63, "dos_at_fermi_per_ev_cell": 3.1, "formation_energy_ev_per_atom": 1.221, "magmom_total_mub_per_cell": 1.8}

=====

(18)
{"formula": "InPt2Au", "functional": "SCAN", "state": "PBEsol geometry", "cell": [[2.886, -3.826, 0.000], [2.886, 3.826, 0.000], [0.000, 0.000, 2.986]], "species": ["In", "Pt", "Pt", "Au"], "fractional_positions": [[0.000, 0.000, 0.000], [0.000, 0.500, 0.500], [0.500, 0.000, 0.500], [0.500, 0.500, 0.000]], "volume_a3_per_cell": 65.9, "final_energy_ev_per_atom": -60.98, "dos_at_fermi_per_ev_cell": 1.4, "formation_energy_ev_per_atom": -0.248, "magmom_total_mub_per_cell": 0.0}

=====

(19)
{"formula": "SrTlRh2", "functional": "SCAN", "state": "PBEsol geometry", "cell": [[-2.031, 2.031, 4.669], [2.031, -2.031, 4.669], [2.031, 2.031, -4.669]], "species": ["Sr", "Tl", "Rh", "Rh"], "fractional_positions": [[0.000, 0.000, 0.000], [0.750, 0.250, 0.500], [0.250, 0.750, 0.500], [0.500, 0.500, 0.000]], "relative_energy_mev_per_atom": 294, "volume_a3_per_cell": 77.0, "final_energy_ev_per_atom": -40.45, "dos_at_fermi_per_ev_cell": 3.0, "formation_energy_ev_per_atom": 0.095, "magmom_total_mub_per_cell": 0.9}

=====

(20)
{"formula": "TbTlP2Se6", "functional": "SCAN", "state": "PBEsol geometry", "cell": [[6.696, 0.000, 0.000], [0.000, 7.466, 0.000], [-0.140, 0.000, 10.062]], "species": ["Tb", "Tb", "Tl", "Tl", "P", "P", "P", "P", "Se", "Se", "Se", "Se", "Se", "Se", "Se", "Se", "Se", "Se", "Se", "Se"], "fractional_positions": [[0.213, 0.000, 0.002], [0.787, 0.500, 0.998], [0.318, 0.220, 0.509], [0.682, 0.720, 0.491], [0.187, 0.727, 0.300], [0.313, 0.506, 0.177], [0.687, 0.006, 0.823], [0.813, 0.227, 0.700], [0.070, 0.304, 0.174], [0.077, 0.310, 0.826], [0.148, 0.629, 0.498], [0.370, 0.634, 0.980], [0.404, 0.908, 0.739], [0.404, 0.941, 0.269], [0.596, 0.408, 0.261], [0.596, 0.441, 0.731], [0.630, 0.134, 0.020], [0.852, 0.129, 0.502], [0.923, 0.810, 0.174], [0.930, 0.804, 0.826]], "volume_a3_per_cell": 503.1, "final_energy_ev_per_atom": -26.77, "dos_at_fermi_per_ev_cell": 0.0, "magmom_total_mub_per_cell": 0.0, "formation_energy_uncorrected_mev_per_atom": -732.5}